No. 1
MoPBr3 at its PBEsol-relaxed geometry, computed with meta-GGA SCAN.

Values from the calculation:
- Calculated volume: 132.1 Å³/cell
- Crystal system: cubic
- DFT total energy: -101.55 eV per cell

Unit cell a=5.093 b=5.093 c=5.093 alpha=90.00 beta=90.00 gamma=90.00
Sites, in units of the cell vectors:
Br  0.000  0.500  0.000
P  0.500  0.500  0.500
Br  0.500  0.000  0.000
Mo  0.000  0.000  0.000
Br  0.000  0.000  0.500

***

No. 2
MoPBr2 at its PBEsol-relaxed geometry, computed with meta-GGA SCAN.

Values from the calculation:
- Calculated volume: 77.9 Å³/cell
- Crystal system: tetragonal
- Energy above the lowest structure with this stoichiometry: 539 meV/atom
- DFT total energy: -81.07 eV per cell

Unit cell a=3.008 b=3.008 c=8.608 alpha=90.00 beta=90.00 gamma=90.00
Sites, in units of the cell vectors:
Br  0.000  0.000  0.187
P  0.500  0.500  0.500
Mo  0.500  0.500  0.000
Br  0.000  0.000  0.813

***

No. 3
MoPBr2 at its PBEsol-relaxed geometry, computed with meta-GGA SCAN.

Values from the calculation:
- Calculated volume: 79.0 Å³/cell
- Crystal system: tetragonal
- Energy above the lowest structure with this stoichiometry: 0 meV/atom
- DFT total energy: -83.23 eV per cell

Unit cell a=3.239 b=3.239 c=7.532 alpha=90.00 beta=90.00 gamma=90.00
Sites, in units of the cell vectors:
P  0.500  0.500  0.692
Mo  0.000  0.000  0.567
Br  0.500  0.500  0.313
Br  0.000  0.000  0.928

***

No. 4
MoPBr2 at its PBEsol-relaxed geometry, computed with meta-GGA SCAN.

Values from the calculation:
- Calculated volume: 68.8 Å³/cell
- Crystal system: tetragonal
- Energy above the lowest structure with this stoichiometry: 1000 meV/atom
- DFT total energy: -79.23 eV per cell

Unit cell a=3.209 b=4.632 c=4.632 alpha=90.00 beta=90.00 gamma=90.00
Sites, in units of the cell vectors:
Br  0.000  0.500  0.000
P  0.500  0.000  0.000
Mo  0.500  0.500  0.500
Br  0.000  0.000  0.500

***

No. 5
MoPbBr2 at its PBEsol-relaxed geometry, computed with meta-GGA SCAN.

Values from the calculation:
- Calculated volume: 99.0 Å³/cell
- Crystal system: orthorhombic
- Energy above the lowest structure with this stoichiometry: 0 meV/atom
- DFT total energy: -148.38 eV per cell

Unit cell a=3.138 b=4.643 c=7.348 alpha=108.42 beta=102.33 gamma=90.00
Sites, in units of the cell vectors:
Br  0.834  0.334  0.669
Mo  0.482  0.482  0.963
Pb  0.170  0.670  0.340
Br  0.014  0.014  0.028

***

No. 6
MoPbBr2 at its PBEsol-relaxed geometry, computed with meta-GGA SCAN.

Values from the calculation:
- Calculated volume: 93.1 Å³/cell
- Crystal system: trigonal
- Energy above the lowest structure with this stoichiometry: 66 meV/atom
- DFT total energy: -148.12 eV per cell

Unit cell a=3.264 b=3.264 c=10.262 alpha=80.85 beta=80.85 gamma=60.00
Sites, in units of the cell vectors:
Br  0.921  0.921  0.238
Br  0.079  0.079  0.762
Mo  0.000  0.000  0.000
Pb  0.500  0.500  0.500

***

no.,raw formation energy (eV/atom),calculated density (Mg/m³),size of the total moment (Bohr magnetons per cell)
1,0.423,4.61,6.01
2,0.782,6.11,0.00
3,0.244,6.02,0.01
4,1.244,6.92,1.56
5,0.301,7.77,0.00
6,0.367,8.26,0.00